## P
The following is a PBE calculation of a relaxed structure of LaOsI3, from the Alexandria database.

Computed properties:
* symmetry: Pm-3m, No. 221

The structure in POSCAR format:
```
LaOsI3
1.0
5.367 0.000 0.000
0.000 5.367 0.000
0.000 0.000 5.367
La Os I
1 1 3
Cartesian
0.000 0.000 0.000
2.684 2.684 2.684
0.000 2.684 2.684
2.684 0.000 2.684
2.684 2.684 0.000
```

## Q
The following is a PBE calculation of a relaxed structure of LaOsI3, from the Alexandria database.

Computed properties:
* symmetry: Pm-3m, No. 221

The structure in POSCAR format:
```
LaOsI3
1.0
6.293 0.000 0.000
0.000 6.293 0.000
0.000 0.000 6.293
La Os I
1 1 3
Cartesian
0.000 0.000 0.000
3.147 3.147 3.147
0.000 0.000 3.147
0.000 3.147 0.000
3.147 0.000 0.000
```

Computed relative energies in units of meV per atom: P 0; Q 369

## P
The following is a PBE calculation of a relaxed structure of LaSbOsI2, from the Alexandria database.

Computed properties:
* symmetry: P4/mmm, No. 123

The structure in POSCAR format:
```
LaSbOsI2
1.0
6.106 0.000 0.000
0.000 6.106 0.000
0.000 0.000 6.448
La Sb Os I
1 1 1 2
Cartesian
0.000 0.000 0.000
0.000 0.000 3.224
3.053 3.053 3.224
0.000 3.053 0.000
3.053 0.000 0.000
```

## Q
The following is a PBE calculation of a relaxed structure of LaSbOsI2, from the Alexandria database.

Computed properties:
* symmetry: P4/mmm, No. 123

The structure in POSCAR format:
```
LaSbOsI2
1.0
5.392 0.000 0.000
0.000 5.392 0.000
0.000 0.000 5.196
La Sb Os I
1 1 1 2
Cartesian
0.000 0.000 0.000
2.696 2.696 0.000
2.696 2.696 2.598
0.000 2.696 2.598
2.696 0.000 2.598
```

Computed relative energies in units of meV per atom: P 869; Q 0

## P
The following is a PBE calculation of a relaxed structure of LaSb2OsI, from the Alexandria database.

Computed properties:
* symmetry: P4/mmm, No. 123

The structure in POSCAR format:
```
LaSb2OsI
1.0
5.134 0.000 0.000
0.000 5.134 0.000
0.000 0.000 5.641
La Sb Os I
1 2 1 1
Cartesian
0.000 0.000 0.000
0.000 2.567 2.820
2.567 0.000 2.820
2.567 2.567 2.820
2.567 2.567 0.000
```

## Q
The following is a PBE calculation of a relaxed structure of LaSb2OsI, from the Alexandria database.

Computed properties:
* symmetry: P4/mmm, No. 123

The structure in POSCAR format:
```
LaSb2OsI
1.0
6.127 0.000 0.000
0.000 6.127 0.000
0.000 0.000 6.021
La Sb Os I
1 2 1 1
Cartesian
0.000 0.000 0.000
0.000 3.064 0.000
3.064 0.000 0.000
3.064 3.064 3.011
0.000 0.000 3.011
```

Computed relative energies in units of meV per atom: P 0; Q 1348